{
  "formula": "AcCePdRh",
  "functional": "PBE-GGA",
  "state": "relaxed",
  "magnetic_moment_mub_per_cell": 1.01,
  "spacegroup": "No. 216",
  "de_polymorph_mev_per_atom": 67,
  "formation_enthalpy_0k_ev_per_atom": -0.601,
  "e_tot_ev_per_atom": -6.248,
  "lattice_angstrom": [[0.0000, 3.6464, 3.6464], [3.6464, 0.0000, 3.6464], [3.6464, 3.6464, 0.0000]],
  "species": ["Ac", "Ce", "Pd", "Rh"],
  "frac_coords": [[0.0000, 0.0000, 0.0000], [0.5000, 0.5000, 0.5000], [0.2500, 0.2500, 0.2500], [0.7500, 0.7500, 0.7500]]
}